(1)
Here is an optimized crystal structure of TcGeN from Alexandria via LeMat-Bulk. Energies are from PBE.

## Properties
Total magnetic moment = 0.00 μB per formula unit
Excess energy over the best structure of this formula in the dataset = 80.2 meV per atom
Uncorrected formation energy = 10 kJ/mol of formula units

abc: 4.975 2.874 12.330
angles: 90.00 111.01 90.00
Element x y z (fractional)
1 Tc 0.430 0.000 0.889
2 Tc 0.430 0.500 0.389
3 Tc 0.502 0.000 0.211
4 Tc 0.502 0.500 0.711
5 N 0.717 0.500 0.886
6 N 0.184 0.500 0.125
7 N 0.717 0.000 0.386
8 N 0.184 0.000 0.625
9 Ge 0.124 0.000 0.467
10 Ge 0.944 0.500 0.218
11 Ge 0.124 0.500 0.967
12 Ge 0.944 0.000 0.718

---

(2)
Here is an optimized crystal structure of MnSb2OsW from Alexandria via LeMat-Bulk. Energies are from PBE.

## Properties
Total magnetic moment = 5.22 μB per formula unit
Uncorrected formation energy = 881 kJ/mol of formula units

abc: 5.146 4.632 5.146
angles: 90.00 90.00 90.00
Element x y z (fractional)
1 W 0.000 0.000 0.000
2 Sb 0.000 0.000 0.500
3 Sb 0.500 0.000 0.000
4 Os 0.500 0.500 0.500
5 Mn 0.000 0.500 0.000

---

(3)
Here is an optimized crystal structure of LaIr2 from Alexandria via LeMat-Bulk. Energies are from PBE.

## Properties
Total magnetic moment = 0.00 μB per formula unit
Energy of formation = -342 meV/atom

abc: 4.361 4.361 8.335
angles: 89.95 89.95 59.99
Element x y z (fractional)
1 Ir 0.638 0.638 0.717
2 Ir 0.306 0.306 0.270
3 Ir 0.973 0.973 0.148
4 Ir 0.639 0.639 0.262
5 La 0.972 0.972 0.525
6 La 0.305 0.305 0.911

---

(4)
Here is an optimized crystal structure of CaZnRh2 from Alexandria via LeMat-Bulk. Energies are from PBE.

## Properties
Total magnetic moment = 0.59 μB per formula unit
Energy of formation = -98 meV/atom

abc: 4.582 4.582 4.582
angles: 60.00 60.00 60.00
Element x y z (fractional)
1 Zn 0.750 0.750 0.750
2 Rh 0.000 0.000 0.000
3 Rh 0.250 0.250 0.250
4 Ca 0.500 0.500 0.500

---

(5)
Here is an optimized crystal structure of TcNiTe2 from Alexandria via LeMat-Bulk. Energies are from PBE.

## Properties
Total magnetic moment = 0.00 μB per formula unit
Excess energy over the best structure of this formula in the dataset = 167.9 meV per atom
Uncorrected formation energy = 70 kJ/mol of formula units

abc: 7.702 7.702 7.702
angles: 25.53 25.53 25.53
Element x y z (fractional)
1 Tc 0.750 0.750 0.750
2 Te 0.504 0.504 0.504
3 Te 0.996 0.996 0.996
4 Ni 0.250 0.250 0.250

---

(6)
Here is an optimized crystal structure of LaCdAg from Alexandria via LeMat-Bulk. Energies are from PBE.

## Properties
Total magnetic moment = 0.00 μB per formula unit
Energy of formation = -341 meV/atom

abc: 3.546 5.007 8.714
angles: 90.00 90.00 90.00
Element x y z (fractional)
1 Ag 0.812 0.716 0.811
2 Ag 0.812 0.216 0.981
3 Cd 0.812 0.216 0.313
4 Cd 0.811 0.716 0.480
5 La 0.312 0.216 0.663
6 La 0.312 0.716 0.130

---

Q: Number 2 is which compound?
A: MnSb2OsW

---

Copy entry 6 word for word.
Here is an optimized crystal structure of LaCdAg from Alexandria via LeMat-Bulk. Energies are from PBE.

## Properties
Total magnetic moment = 0.00 μB per formula unit
Energy of formation = -341 meV/atom

abc: 3.546 5.007 8.714
angles: 90.00 90.00 90.00
Element x y z (fractional)
1 Ag 0.812 0.716 0.811
2 Ag 0.812 0.216 0.981
3 Cd 0.812 0.216 0.313
4 Cd 0.811 0.716 0.480
5 La 0.312 0.216 0.663
6 La 0.312 0.716 0.130